(1)
LiBeV3 after structural relaxation, computed with GGA-PBE.

Results
Electronic total energy ... -5.30 eV/atom
ΔH_f (0 K) ... 1.29 eV per atom
Volume ... 13.16 A^3/atom
Spin magnetization ... 0.62 μB per formula unit
Symmetry ... Pm-3m

Cell and atoms, written as POSCAR:
```
LiBeV3
1.0
-3.772 -1.053 -0.982
-0.938 -0.292 3.916
-1.092 3.887 0.028
Be V Li
1 3 1
direct
0.500 0.500 0.500
0.000 0.500 0.000
0.000 0.000 0.500
0.500 0.000 0.000
0.000 0.000 0.000
```

***

(2)
Tb3PmEr2 after structural relaxation, computed with GGA-PBE.

Results
Electronic total energy ... -4.63 eV/atom
ΔH_f (0 K) ... 0.00 eV per atom
Volume ... 31.84 A^3/atom
Spin magnetization ... 0.00 μB per formula unit
Symmetry ... P-1

Cell and atoms, written as POSCAR:
```
Tb3PmEr2
1.0
6.916 -1.129 -1.514
-4.114 9.306 -0.306
-2.107 0.666 6.815
Tb Pm Er
6 2 4
direct
0.251 0.001 0.751
0.749 0.999 0.249
0.804 0.664 0.861
0.196 0.335 0.639
0.804 0.665 0.361
0.196 0.336 0.139
0.252 0.001 0.251
0.748 0.999 0.749
0.303 0.664 0.360
0.303 0.665 0.861
0.697 0.335 0.139
0.697 0.336 0.640
```